Entry from Alexandria via LeMat-Bulk: crystalline Ge2SbF at its relaxed geometry (PBE).

POSCAR file:
```
Ge2SbF
1.0
0.000 3.382 3.382
3.382 0.000 3.382
3.382 3.382 0.000
Ge F Sb
2 1 1
Direct
0.250 0.250 0.250 Ge
0.750 0.750 0.750 Ge
0.000 0.000 0.000 F
0.500 0.500 0.500 Sb
```

Computed properties:
The calculation puts the energy above the most stable polymorph in this dataset at 0.000 eV per atom. Its space group is Fm-3m.



Entry from Alexandria via LeMat-Bulk: crystalline GeSb3F at its relaxed geometry (PBE).

POSCAR file:
```
GeSb3F
1.0
-2.652 -2.974 -3.541
4.064 -3.446 -0.149
-2.206 -2.774 3.982
Sb Ge F
3 1 1
Direct
0.500 0.000 0.000 Sb
0.000 0.500 0.000 Sb
0.000 0.000 0.500 Sb
0.000 0.000 0.000 Ge
0.500 0.500 0.500 F
```

Computed properties:
The calculation puts the energy above the most stable polymorph in this dataset at 0.387 eV per atom. Its space group is Pm-3m.



no.,density of states at the Fermi level (states/eV/atom),calculated volume (Å³ per cell),raw total energy (eV per atom)
1,0.289,77.35,-4.189
2,0.742,151.47,-3.359